(1)
VASP calculation (PBE) on a geometry-optimized MgHgSb structure.

- E above lowest polymorph: 0.24 eV per formula unit
- Energy relative to the elements, uncorrected: -5.8 kJ per mole of atoms
- Crystal system: triclinic
- ρ: 6.89 g cm⁻³

a = 4.5039 Å, b = 5.3523 Å, c = 6.9357 Å
α = 90.20°, β = 89.53°, γ = 92.08°
Fractional coordinates of all 6 atoms:
Sb (0.2570, 0.8749, 0.0309)
Sb (0.7548, 0.3748, 0.9727)
Hg (0.2510, 0.4915, 0.6347)
Hg (0.7396, 0.9928, 0.3700)
Mg (0.2519, 0.3881, 0.2469)
Mg (0.7626, 0.8873, 0.7566)

=====

(2)
VASP calculation (PBE) on a geometry-optimized MgHg2Sb structure.

- Energy relative to the elements, uncorrected: -3.2 kJ per mole of atoms
- Crystal system: monoclinic
- ρ: 9.10 g cm⁻³

a = 5.2631 Å, b = 5.2631 Å, c = 5.9883 Å
α = 80.45°, β = 80.45°, γ = 37.67°
Fractional coordinates of all 4 atoms:
Mg (0.5044, 0.5044, 0.4902)
Sb (0.7689, 0.7689, 0.7242)
Hg (0.2364, 0.2364, 0.2538)
Hg (0.9903, 0.9903, 0.0318)

=====

(3)
VASP calculation (PBE) on a geometry-optimized Mg2HgSb structure.

- E above lowest polymorph: 0.00 eV per formula unit
- Energy relative to the elements, uncorrected: -20.9 kJ per mole of atoms
- Crystal system: monoclinic
- ρ: 6.33 g cm⁻³

a = 5.6455 Å, b = 5.6455 Å, c = 4.4096 Å
α = 89.89°, β = 89.89°, γ = 43.86°
Fractional coordinates of all 4 atoms:
Mg (0.2402, 0.2402, 0.3732)
Mg (0.0026, 0.0026, 0.8761)
Hg (0.7356, 0.7356, 0.8744)
Sb (0.5215, 0.5215, 0.3763)

=====

(4)
VASP calculation (PBE) on a geometry-optimized MgHg2Sb2 structure.

- E above lowest polymorph: 0.02 eV per formula unit
- Energy relative to the elements, uncorrected: 6.8 kJ per mole of atoms
- Crystal system: tetragonal
- ρ: 7.56 g cm⁻³

a = 4.0399 Å, b = 4.0399 Å, c = 9.4443 Å
α = 77.65°, β = 77.65°, γ = 90.00°
Fractional coordinates of all 5 atoms:
Hg (0.2500, 0.7500, 0.5000)
Hg (0.7500, 0.2500, 0.5000)
Sb (0.4209, 0.4209, 0.1581)
Sb (0.5791, 0.5791, 0.8419)
Mg (0.0000, 0.0000, 0.0000)

=====

(5)
VASP calculation (PBE) on a geometry-optimized Mg2HgSb structure.

- E above lowest polymorph: 0.28 eV per formula unit
- Energy relative to the elements, uncorrected: -14.1 kJ per mole of atoms
- Crystal system: trigonal
- ρ: 6.55 g cm⁻³

a = 9.2186 Å, b = 9.2186 Å, c = 9.2186 Å
α = 21.72°, β = 21.72°, γ = 21.72°
Fractional coordinates of all 4 atoms:
Sb (0.2500, 0.2500, 0.2500)
Hg (0.7500, 0.7500, 0.7500)
Mg (0.0062, 0.0062, 0.0062)
Mg (0.4938, 0.4938, 0.4938)

=====

(6)
VASP calculation (PBE) on a geometry-optimized Mg2Hg2Sb structure.

- E above lowest polymorph: 0.57 eV per formula unit
- Energy relative to the elements, uncorrected: 0.9 kJ per mole of atoms
- Crystal system: tetragonal
- ρ: 7.81 g cm⁻³

a = 4.3411 Å, b = 4.3411 Å, c = 7.1439 Å
α = 72.31°, β = 72.31°, γ = 90.00°
Fractional coordinates of all 5 atoms:
Hg (0.3910, 0.3910, 0.2180)
Hg (0.6090, 0.6090, 0.7820)
Mg (0.7500, 0.2500, 0.5000)
Mg (0.2500, 0.7500, 0.5000)
Sb (0.0000, 0.0000, 0.0000)